A crystal of InCuHg relaxed with PBEsol, computed with SCAN.

Values from the calculation:
Energy above the most stable polymorph in this dataset, eV/atom: 0.000
Formation enthalpy at 0 K, kcal/mol of atoms: 1.2

a b c (Å): 4.395 4.395 4.395
angles (deg): 60.00 60.00 60.00
Atoms (fractional coordinates):
Hg (0.000, 0.000, 0.000)
Cu (0.250, 0.250, 0.250)
In (0.500, 0.500, 0.500)